A plane-wave DFT calculation with PBE was carried out for crystalline AcGa2GeIr at its relaxed geometry.

Properties
- Formation enthalpy at 0 K: -0.53 eV/atom
- Space-group type: Imm2, No. 44

Unit cell a=4.3651 b=4.2972 c=6.2953 alpha=109.96 beta=110.29 gamma=90.00
Sites, in units of the cell vectors:
1 Ac 0.4409 0.4409 0.8818
2 Ga 0.6883 0.1883 0.3766
3 Ga 0.0665 0.0665 0.1330
4 Ge 0.8204 0.8204 0.6408
5 Ir 0.1960 0.6960 0.3921